{
  "formula": "SnGeBi",
  "functional": "PBE-GGA",
  "state": "relaxed",
  "dos_at_fermi_per_ev_fu": 1.26,
  "de_polymorph_mev_per_atom": 1.2,
  "ef_mev_per_atom": 139,
  "dft_energy_ev_per_cell": -24.17,
  "lattice_angstrom": [[-3.057, 2.795, -1.426], [-5.971, -2.807, 0.665], [-3.658, 2.250, 5.284]],
  "species": ["Sn", "Sn", "Ge", "Ge", "Bi", "Bi"],
  "fractional_positions": [[0.059, 0.638, 0.370], [0.537, 0.137, 0.757], [0.179, 0.162, 0.444], [0.698, 0.680, 0.064], [0.837, 0.188, 0.117], [0.355, 0.672, 0.722]]
}